(1)
# Ba3Sr4Ac2 | Alexandria | PBE | optimized geometry
data_Ba3Sr4Ac2
_chemical_formula_sum 'Ba3 Sr4 Ac2'
_cell_length_a 4.1863
_cell_length_b 4.1863
_cell_length_c 32.0056
_cell_angle_alpha 90.00
_cell_angle_beta 90.00
_cell_angle_gamma 120.00
_space_group_name_H-M_alt 'P 1'
_space_group_IT_number 1
loop_
_space_group_symop_operation_xyz
'x,y,z'
loop_
_atom_site_label
_atom_site_fract_x
_atom_site_fract_y
_atom_site_fract_z
Ba1 0.0000 0.0000 0.3204
Ba2 0.6667 0.3333 0.6574
Ba3 0.0000 0.0000 0.9806
Sr1 0.0000 0.0000 0.5442
Sr2 0.6667 0.3333 0.4342
Sr3 0.0000 0.0000 0.7705
Sr4 0.6667 0.3333 0.2082
Ac1 0.6667 0.3333 0.8736
Ac2 0.6667 0.3333 0.0880
# Formation energy ... 88 meV per atom
# Crystal system ... trigonal
# Electronic total energy ... -2.21 eV/atom
# D(E_F) ... 13.64 states/eV/cell
# Calculated density ... 4.16 g/cm³

=====

(2)
# K3Ac2F8 | Alexandria | PBE | optimized geometry
data_K3Ac2F8
_chemical_formula_sum 'K3 Ac2 F8'
_cell_length_a 4.3967
_cell_length_b 8.6630
_cell_length_c 7.7955
_cell_angle_alpha 123.76
_cell_angle_beta 90.00
_cell_angle_gamma 90.00
_space_group_name_H-M_alt 'P 1'
_space_group_IT_number 1
loop_
_space_group_symop_operation_xyz
'x,y,z'
loop_
_atom_site_label
_atom_site_fract_x
_atom_site_fract_y
_atom_site_fract_z
K1 0.0000 0.7107 0.0000
K2 0.0000 0.2893 0.0000
K3 0.5000 0.0000 0.0000
F1 0.5000 0.3758 0.2899
F2 0.0000 0.8625 0.7251
F3 0.5000 0.6242 0.7101
F4 0.0000 0.6491 0.2983
F5 0.5000 0.9141 0.2899
F6 0.0000 0.3509 0.7017
F7 0.5000 0.0859 0.7101
F8 0.0000 0.1375 0.2749
Ac1 0.5000 0.7334 0.4668
Ac2 0.5000 0.2666 0.5332
# ΔE_f (raw) ... -43.27 eV/f.u.
# Crystal system ... orthorhombic
# Electronic total energy ... -5.37 eV/atom
# D(E_F) ... 1.40 states/eV/cell
# Calculated density ... 4.87 g/cm³

=====

What is the formula in the second record? K3Ac2F8

=====

Which value of electronic total energy does entry 1 give? -2.21 eV/atom

=====

Which formula does entry 1 have? Ba3Sr4Ac2

=====

electronic total energy of number 1 (Ba3Sr4Ac2)? -2.21 eV/atom